Material: BaCdGe2Au
Method: DFT, GGA-PBE
State: relaxed Values from VASP.

Calculated values
Symmetry ... I-4m2, No. 119
Raw total energy ... -17.53 eV for the cell shown

Structure (Quantum ESPRESSO input):
```
&SYSTEM
  ibrav = 0, nat = 5, ntyp = 4
/
ATOMIC_SPECIES
Au 196.97 Au.upf
Cd 112.41 Cd.upf
Ge 72.64 Ge.upf
Ba 137.33 Ba.upf
CELL_PARAMETERS angstrom
4.6649 0.0000 0.0000
0.0000 4.6649 0.0000
-2.3324 -2.3324 5.6071
ATOMIC_POSITIONS angstrom
Au 2.3324 0.0000 2.8035
Cd 0.0000 2.3324 2.8035
Ge 0.0000 0.0000 4.3062
Ge 2.3325 2.3325 1.3009
Ba 0.0000 0.0000 0.0000
```